K4Ce3MgO8 | PBE | relaxed

POSCAR file:
```
K4Ce3MgO8
1.0
3.543 2.046 6.251
-3.543 2.046 6.251
0.000 -4.091 6.251
K Ce Mg O
4 3 1 8
direct
0.000 0.000 0.000
0.000 0.500 0.500
0.500 0.000 0.500
0.500 0.500 0.000
0.000 0.000 0.500
0.000 0.500 0.000
0.500 0.000 0.000
0.500 0.500 0.500
0.231 0.231 0.231
0.231 0.727 0.727
0.273 0.273 0.769
0.273 0.769 0.273
0.727 0.231 0.727
0.727 0.727 0.231
0.769 0.273 0.273
0.769 0.769 0.769
```

Ca3Al4Si2 | PBE | relaxed

POSCAR file:
```
Ca3Al4Si2
1.0
5.728 -2.139 0.000
5.728 2.139 0.000
-1.570 0.000 8.467
Ca Al Si
3 4 2
direct
0.000 0.000 0.000
0.327 0.327 0.344
0.673 0.673 0.656
0.039 0.039 0.370
0.264 0.264 0.928
0.736 0.736 0.072
0.961 0.961 0.630
0.387 0.387 0.721
0.613 0.613 0.279
```

Number 1: E_form (uncorrected) -2513 meV per atom. Number 2: E_form (uncorrected) -324 meV per atom.